Record 1
Compound: Li3Ag3Ge2
Source: Alexandria
Functional: GGA-PBEsol
Structure: relaxed

Cell lengths 4.1277, 4.1405, 7.2579 Å; angles 90.00, 90.00, 90.00 degrees
Last column: nearest neighbours and their distance in Å.
Positions (direct):
Ge1 0.0000 0.0000 0.7488  6 Ag 2.74-2.76, 6 Li 2.75-2.92
Ge2 0.0000 0.0000 0.2512  6 Ag 2.74-2.76, 6 Li 2.75-2.92
Ag1 0.5000 0.0000 0.5000  4 Li 2.73, 4 Ge 2.74, 4 Ag 2.92
Ag2 0.0000 0.5000 0.0000  4 Ge 2.76, 8 Li 2.77-2.92
Ag3 0.0000 0.5000 0.5000  4 Li 2.73, 4 Ge 2.75, 4 Ag 2.92
Li1 0.5000 0.5000 0.7460  6 Ag 2.73-2.77, 2 Li 2.77, 4 Ge 2.92
Li2 0.5000 0.5000 0.2540  6 Ag 2.73-2.77, 2 Li 2.77, 4 Ge 2.92
Li3 0.5000 0.0000 0.0000  4 Ge 2.75, 4 Li 2.77, 4 Ag 2.92

Calculated values
Total DFT energy (no corrections): -3.408 eV per atom
Total moment: 0.0 μB per formula unit
DOS(E_F): 2.696 states/eV/f.u.
Space-group type: No. 47

---

Record 2
Compound: In2HgMo
Source: Alexandria
Functional: GGA-PBEsol
Structure: relaxed

Cell lengths 2.9232, 5.1119, 5.6139 Å; angles 99.75, 105.09, 90.00 degrees
Last column: nearest neighbours and their distance in Å.
Positions (direct):
Hg1 0.2213 0.7786 0.4427  7 In 2.87-3.19, 2 Mo 2.90, 2 Hg 2.92
In1 0.9842 0.9568 0.9684  3 Hg 2.87-3.19, 4 Mo 2.92-3.01, 3 In 2.92-3.11
In2 0.7769 0.3061 0.5539  3 In 2.92-3.11, 3 Mo 2.97-3.05, 4 Hg 2.97-3.03
Mo1 0.5175 0.4584 0.0351  2 Hg 2.90, 7 In 2.92-3.05, 2 Mo 2.92

Calculated values
Total DFT energy (no corrections): -4.270 eV per atom
Total moment: 0.0 μB per formula unit
DOS(E_F): 1.565 states/eV/f.u.
Space-group type: No. 8